# 1
BaFeCuSe3 (PBE, optimized geometry); SG = No. 62; total magnetization = 16.66 μB/cell; electronic total energy = -4.7681 eV/atom
1.0
9.884 0.000 0.000
0.000 4.022 0.000
0.000 0.000 13.949
Ba Fe Cu Se
4 4 4 12
Cartesian
2.458 1.006 0.088
2.484 3.017 7.063
7.399 1.006 6.886
7.426 3.017 13.860
0.068 3.017 10.472
4.874 1.006 3.497
5.010 3.017 10.451
9.816 1.006 3.477
2.449 3.017 3.037
2.493 1.006 10.011
7.391 3.017 3.938
7.435 1.006 10.912
0.397 3.017 1.762
0.449 1.006 8.734
2.428 1.006 4.396
2.514 3.017 11.370
4.493 3.017 1.759
4.544 1.006 8.736
5.339 3.017 5.213
5.391 1.006 12.189
7.370 1.006 2.579
7.456 3.017 9.553
9.435 3.017 5.215
9.486 1.006 12.187

# 2
BaFeCuTe3 (PBE, optimized geometry); SG = No. 62; total magnetization = 11.49 μB/cell; electronic total energy = -4.3658 eV/atom
1.0
10.703 0.000 0.000
0.000 4.282 0.000
0.000 0.000 14.140
Ba Fe Cu Te
4 4 4 12
Cartesian
2.659 1.071 0.209
2.692 3.212 7.279
8.011 1.071 6.861
8.044 3.212 13.932
0.074 3.212 10.607
5.278 1.071 3.537
5.425 3.212 10.604
10.629 1.071 3.533
2.667 3.212 2.980
2.685 1.071 10.050
8.018 3.212 4.090
8.036 1.071 11.161
0.349 3.212 1.770
0.390 1.071 8.822
2.630 1.071 4.437
2.721 3.212 11.507
4.961 3.212 1.752
5.003 1.071 8.841
5.700 3.212 5.300
5.742 1.071 12.388
7.982 1.071 2.633
8.072 3.212 9.704
10.313 3.212 5.318
10.354 1.071 12.370

# 3
BaFeCuTe3 (PBE, optimized geometry); SG = No. 63; total magnetization = 6.58 μB/cell; electronic total energy = -4.3664 eV/atom
1.0
2.129 -7.310 0.000
2.129 7.310 0.000
0.000 0.000 10.652
Ba Fe Cu Te
2 2 2 6
Cartesian
2.129 3.824 7.989
2.129 -3.824 2.663
0.000 0.000 0.000
0.000 0.000 5.326
2.129 0.547 2.663
2.129 -0.547 7.989
2.129 6.370 2.663
2.129 1.818 0.395
2.129 1.818 4.931
2.129 -1.818 5.721
2.129 -1.818 10.257
2.129 -6.370 7.989

# 4
BaGa2Cu (PBE, optimized geometry); SG = No. 216; electronic total energy = -2.9328 eV/atom
1.0
0.000 3.587 3.587
3.587 0.000 3.587
3.587 3.587 0.000
Ba Ga Cu
1 2 1
Cartesian
0.000 0.000 0.000
3.587 3.587 3.587
5.380 5.380 5.380
1.793 1.793 1.793

# 5
Ba2GaCu (PBE, optimized geometry); SG = No. 216; electronic total energy = -2.5909 eV/atom
1.0
0.000 3.849 3.849
3.849 0.000 3.849
3.849 3.849 0.000
Ba Ga Cu
2 1 1
Cartesian
0.000 0.000 0.000
1.924 1.924 1.924
3.849 3.849 3.849
5.773 5.773 5.773

# 6
BaGaCu2 (PBE, optimized geometry); SG = No. 166; electronic total energy = -3.3167 eV/atom
1.0
2.166 1.251 5.665
-2.166 1.251 5.665
0.000 -2.501 5.665
Ba Ga Cu
1 1 2
Cartesian
0.000 0.000 0.000
0.000 0.000 8.497
0.000 0.000 3.211
0.000 0.000 13.783

Q: Which formula does entry 5 have?
A: Ba2GaCu

Q: electronic total energy of number 3 (BaFeCuTe3)?
A: -4.3664 eV/atom

Repeat the second record exactly.
BaFeCuTe3 (PBE, optimized geometry); SG = No. 62; total magnetization = 11.49 μB/cell; electronic total energy = -4.3658 eV/atom
1.0
10.703 0.000 0.000
0.000 4.282 0.000
0.000 0.000 14.140
Ba Fe Cu Te
4 4 4 12
Cartesian
2.659 1.071 0.209
2.692 3.212 7.279
8.011 1.071 6.861
8.044 3.212 13.932
0.074 3.212 10.607
5.278 1.071 3.537
5.425 3.212 10.604
10.629 1.071 3.533
2.667 3.212 2.980
2.685 1.071 10.050
8.018 3.212 4.090
8.036 1.071 11.161
0.349 3.212 1.770
0.390 1.071 8.822
2.630 1.071 4.437
2.721 3.212 11.507
4.961 3.212 1.752
5.003 1.071 8.841
5.700 3.212 5.300
5.742 1.071 12.388
7.982 1.071 2.633
8.072 3.212 9.704
10.313 3.212 5.318
10.354 1.071 12.370

Q: Which formula does entry 5 have?
A: Ba2GaCu